No. 1
4
Lattice="5.260 -0.006 0.002 2.428 4.666 -0.002 -3.320 -3.194 2.537" Properties=species:S:1:pos:R:3 comment="CrTeOs2 | the Alexandria database | GGA-PBE | relaxed" e_form_raw_ev_per_atom=0.7502 sg=Imm2 pbc="T T T"
Cr 2.773 -0.507 1.270
Os 7.664 4.645 0.000
Os 1.600 1.976 1.268
Te 3.864 2.342 0.000

No. 2
16
Lattice="-0.183 3.428 0.318 -5.310 -1.865 -1.643 -2.974 -1.173 10.943" Properties=species:S:1:pos:R:3 comment="PmPu2NiN4 | the Alexandria database | GGA-PBE | relaxed" e_form_raw_ev_per_atom=-1.0516 sg=Cmcm pbc="T T T"
Pm -3.346 -0.911 7.901
Pm -5.121 1.301 1.717
Pu -5.650 -0.765 5.002
Pu -1.671 1.607 0.399
Pu -2.817 1.155 4.616
Pu -6.796 -1.217 9.218
Ni -5.978 0.732 7.361
Ni -2.489 -0.342 2.256
N -3.185 -0.211 0.438
N -4.459 0.925 6.152
N -5.282 0.601 9.179
N -4.008 -0.535 3.465
N -1.487 -0.587 5.471
N 0.000 0.000 0.000
N -7.003 -1.013 6.896
N -1.464 1.403 2.722

No. 3
4
Lattice="-4.667 1.177 0.883 2.733 -1.989 3.538 4.691 7.842 0.784" Properties=species:S:1:pos:R:3 comment="RbSrTeI | the Alexandria database | GGA-PBE | relaxed" e_form_raw_ev_per_atom=-1.5158 sg=R3m pbc="T T T"
Rb 1.131 5.333 1.433
Sr 2.485 -1.067 3.558
Te 4.248 6.357 2.985
I -1.839 2.993 2.413

No. 4
12
Lattice="8.127 -0.001 0.000 -4.062 7.039 0.000 -1.355 -2.347 8.984" Properties=species:S:1:pos:R:3 comment="Cs3La2ThTe6 | the Alexandria database | GGA-PBE | relaxed" e_form_raw_ev_per_atom=-1.3861 sg=C2/m pbc="T T T"
Cs -2.682 4.677 4.492
Cs 5.392 0.014 4.492
Cs 1.355 2.346 4.492
La 0.004 4.691 0.000
La 4.061 2.348 0.000
Th 0.000 0.000 0.000
Te 4.030 2.405 7.211
Te 2.746 4.754 1.781
Te -1.320 2.286 1.774
Te 0.070 4.692 7.211
Te -0.036 -0.062 7.203
Te 2.640 -0.001 1.774

No. 5
10
Lattice="-1.855 1.567 1.647 -2.144 -1.911 -0.598 4.521 -9.491 14.121" Properties=species:S:1:pos:R:3 comment="TaTi4Rh5 | the Alexandria database | GGA-PBE | relaxed" total_energy_ev_per_cell=-87.2 sg=P4/mmm pbc="T T T"
Ta 0.000 0.000 0.000
Ti 0.925 -1.942 2.889
Ti 1.814 -3.808 5.665
Ti 2.707 -5.683 8.456
Ti 3.596 -7.549 11.232
Rh -1.497 -1.228 2.094
Rh -0.640 -3.028 4.773
Rh 0.261 -4.918 7.585
Rh 1.161 -6.808 10.397
Rh 2.019 -8.608 13.076

No. 6
10
Lattice="4.341 0.000 0.000 -2.171 6.378 -0.111 0.000 -1.953 8.408" Properties=species:S:1:pos:R:3 comment="Tm3CSe | the Alexandria database | GGA-PBE | relaxed" e_form_raw_ev_per_atom=-0.6735 sg=C2/m polymorph_energy_ev_per_atom=0.0453 pbc="T T T"
Tm 0.000 3.259 4.542
Tm 2.171 1.166 3.756
Tm 2.171 2.492 7.095
Tm 0.000 1.933 1.202
Tm 0.000 -0.464 5.774
Tm 2.171 4.888 2.524
C 2.171 3.688 5.106
C 0.000 0.737 3.192
Se 2.171 -0.318 7.697
Se 0.000 4.743 0.600

No. 7
6
Lattice="3.102 -5.372 0.000 3.102 5.372 0.000 0.000 0.000 5.668" Properties=species:S:1:pos:R:3 comment="SiTe5 | the Alexandria database | GGA-PBE | relaxed" e_form_raw_ev_per_atom=0.7390 sg=P6/mmm polymorph_energy_ev_per_atom=0.6303 pbc="T T T"
Si 0.000 0.000 0.000
Te 3.102 1.791 0.000
Te 3.102 -1.791 0.000
Te 1.551 -2.686 2.834
Te 1.551 2.686 2.834
Te 3.102 0.000 2.834

No. 8
5
Lattice="-0.270 1.269 -5.022 -2.975 -3.980 -0.846 -4.178 2.919 0.963" Properties=species:S:1:pos:R:3 comment="SrLaSn2C | the Alexandria database | GGA-PBE | relaxed" total_energy_ev_per_cell=-22.3 sg=P4/mmm pbc="T T T"
Sr -1.487 -1.990 -0.423
C 0.000 0.000 0.000
Sn -2.089 1.459 0.481
Sn -0.135 0.635 -2.511
La -3.712 0.104 -2.452

No. 9
5
Lattice="4.990 0.000 0.000 0.000 3.605 0.000 0.000 0.000 4.990" Properties=species:S:1:pos:R:3 comment="ZrTiSi2O | the Alexandria database | GGA-PBE | relaxed" e_form_raw_ev_per_atom=-0.4486 sg=P4/mmm pbc="T T T"
Si 0.000 0.000 2.495
Si 2.495 0.000 0.000
O 0.000 1.803 0.000
Zr 2.495 1.803 2.495
Ti 0.000 0.000 0.000

No. 10
4
Lattice="-2.086 -1.082 -3.756 0.766 -3.925 -1.908 -3.137 -3.128 0.031" Properties=species:S:1:pos:R:3 comment="CrPtW2 | the Alexandria database | GGA-PBE | relaxed" sg=F-43m polymorph_energy_ev_per_atom=0.1517 pbc="T T T"
Cr -2.229 -4.068 -2.816
Pt -3.343 -6.101 -4.225
W 0.000 0.000 0.000
W -1.114 -2.034 -1.408

No. 11
6
Lattice="-0.406 0.386 -3.439 1.108 -3.266 -0.497 -12.706 -4.462 0.999" Properties=species:S:1:pos:R:3 comment="Ce3Tl2Au | the Alexandria database | GGA-PBE | relaxed" total_energy_ev_per_cell=-28.0 sg=P4/mmm pbc="T T T"
Ce 0.000 0.000 0.000
Ce -8.246 -2.896 0.649
Ce -4.460 -1.566 0.351
Tl -10.139 -5.124 -1.143
Tl -1.865 -2.218 -1.794
Au -6.002 -3.671 -1.469

No. 12
8
Lattice="-0.751 -2.701 -0.403 4.606 -2.130 5.680 -7.256 1.802 1.453" Properties=species:S:1:pos:R:3 comment="Ti2Cd3Pd3 | the Alexandria database | GGA-PBE | relaxed" total_energy_ev_per_cell=-36.3 sg=P-62m pbc="T T T"
Ti -3.302 0.491 2.862
Ti 0.652 -0.819 4.271
Cd -2.007 -0.248 5.401
Cd 1.119 -0.517 1.379
Cd -1.762 0.438 0.353
Pd -1.385 -1.475 2.514
Pd 2.477 -2.669 3.316
Pd -4.869 -0.235 0.698